Record 1
This record from Alexandria describes a geometry-optimized FeCo2As structure. The functional is PBE.

Lattice parameters (Å, degrees): 3.787 2.684 4.952 74.01 90.00 90.00
Last column: magnetic moment on the atom in μB.
Fractional coordinates of all 4 atoms:
As1 0.500 0.945 0.735  -0.05
Co1 0.000 0.803 0.015  1.16
Co2 0.500 0.195 0.235  1.41
Fe1 0.000 0.557 0.515  2.29

## Properties
- spin magnetization (μB/atom) = 1.18
- crystal system = monoclinic
- density (g/cm³) = 8.5
- electronic total energy (eV per cell) = -27.1
- volume (Å³/f.u.) = 48.4
- E_form (meV per atom) = 64.8


Record 2
This record from Alexandria describes a geometry-optimized Al2PbBr structure. The functional is PBE.

Lattice parameters (Å, degrees): 6.620 6.620 6.620 150.85 133.97 55.42
Fractional coordinates of all 4 atoms:
Pb1 0.750 0.250 0.500
Al1 0.986 0.986 0.000
Al2 0.514 0.514 0.000
Br1 0.250 0.750 0.500

## Properties
- spin magnetization (μB/atom) = 0.00
- crystal system = orthorhombic
- density (g/cm³) = 5.6
- electronic total energy (eV per cell) = -12.3
- volume (Å³/f.u.) = 101.1
- E_form (uncorrected) (eV/atom) = 0.1529


Record 3
This record from Alexandria describes a geometry-optimized Au3Br structure. The functional is PBE.

Lattice parameters (Å, degrees): 6.735 6.735 6.735 155.64 136.75 50.26
Fractional coordinates of all 4 atoms:
Au1 0.225 0.225 0.000
Au2 0.775 0.775 0.000
Au3 0.000 0.500 0.500
Br1 0.500 0.000 0.500

## Properties
- spin magnetization (μB/atom) = 0.00
- crystal system = orthorhombic
- density (g/cm³) = 12.9
- electronic total energy (eV per cell) = -10.2
- volume (Å³/f.u.) = 86.0
- E_form (uncorrected) (eV/atom) = 0.3179